# 1
NiPO4 PBE with a Hubbard U optimized geometry; DFT total energy = -147.6 eV/cell; space group = P2_1/c (14)
1.0
5.0864 0.0000 0.0000
0.0000 10.0177 0.0000
-4.6557 0.0000 7.5779
Ni P O
4 4 16
Direct
0.1768 0.1756 0.4658
0.1768 0.3244 0.9658
0.8232 0.6756 0.0342
0.8232 0.8244 0.5342
0.1274 0.6036 0.8085
0.1274 0.8964 0.3085
0.8726 0.1036 0.6915
0.8726 0.3964 0.1915
0.1093 0.6507 0.9687
0.1093 0.8493 0.4687
0.1136 0.0510 0.2959
0.1136 0.4490 0.7959
0.1410 0.1572 0.8694
0.1410 0.3428 0.3694
0.4353 0.6563 0.8338
0.4353 0.8437 0.3338
0.5647 0.1563 0.6662
0.5647 0.3437 0.1662
0.8590 0.6572 0.6306
0.8590 0.8428 0.1306
0.8864 0.5510 0.2041
0.8864 0.9490 0.7041
0.8907 0.1507 0.5313
0.8907 0.3493 0.0313

=====

# 2
Ni4P2O9 PBE with a Hubbard U optimized geometry; D(E_F) = 0.0 states/eV per cell; DFT total energy = -362.2 eV/cell; space group = P2_1/c (14)
1.0
6.5066 0.0000 0.0000
0.0000 11.1393 0.0000
-2.5751 0.0000 8.8981
Ni P O
16 8 36
Direct
0.0487 0.1316 0.3185
0.0487 0.3684 0.8185
0.2703 0.1216 0.7515
0.2703 0.3784 0.2515
0.3171 0.6002 0.4612
0.3171 0.8998 0.9612
0.4326 0.5939 0.1142
0.4326 0.9061 0.6142
0.5674 0.0939 0.3858
0.5674 0.4061 0.8858
0.6829 0.1002 0.0388
0.6829 0.3998 0.5388
0.7297 0.6216 0.7485
0.7297 0.8784 0.2485
0.9513 0.6316 0.1815
0.9513 0.8684 0.6815
0.2084 0.1711 0.0777
0.2084 0.3289 0.5777
0.2553 0.6324 0.8136
0.2553 0.8676 0.3136
0.7447 0.1324 0.6864
0.7447 0.3676 0.1864
0.7916 0.6711 0.4223
0.7916 0.8289 0.9223
0.0068 0.1036 0.0859
0.0068 0.3964 0.5859
0.0295 0.6764 0.7315
0.0295 0.8236 0.2315
0.1721 0.1964 0.5261
0.1721 0.3036 0.0261
0.2418 0.5583 0.2337
0.2418 0.9417 0.7337
0.2580 0.5111 0.9024
0.2580 0.9889 0.4024
0.3369 0.1890 0.2485
0.3369 0.3110 0.7485
0.3393 0.0951 0.9909
0.3393 0.4049 0.4909
0.3622 0.7188 0.9459
0.3622 0.7812 0.4459
0.3924 0.6134 0.7025
0.3924 0.8866 0.2025
0.6076 0.1134 0.7975
0.6076 0.3866 0.2975
0.6378 0.2188 0.5541
0.6378 0.2812 0.0541
0.6607 0.5951 0.5091
0.6607 0.9049 0.0091
0.6631 0.6890 0.2515
0.6631 0.8110 0.7515
0.7420 0.0111 0.5976
0.7420 0.4889 0.0976
0.7582 0.0583 0.2663
0.7582 0.4417 0.7663
0.8279 0.6964 0.9739
0.8279 0.8036 0.4739
0.9705 0.1764 0.7685
0.9705 0.3236 0.2685
0.9932 0.6036 0.4141
0.9932 0.8964 0.9141

=====

# 3
Ni2P2O PBE with a Hubbard U optimized geometry; energy relative to the lowest polymorph listed for this composition = 0 meV per atom; D(E_F) = 1.7 states/eV per cell; space group = P4/mmm (123)
1.0
3.7180 0.0000 0.0000
0.0000 3.7180 0.0000
0.0000 0.0000 4.7518
Ni P O
2 2 1
Direct
0.0000 0.5000 0.0000
0.5000 0.0000 0.0000
0.0000 0.5000 0.5000
0.5000 0.0000 0.5000
0.0000 0.0000 0.0000